PBE-GGA Na2Mg2FeH8, optimized geometry; calculated density = 2.134 g/cm³; crystal system = orthorhombic; calculated total energy = -0.1256 hartree per atom
1.0
5.1759 0.0000 0.0000
0.0000 10.8429 0.0000
0.0000 0.0000 4.3952
Na Mg Fe H
4 4 2 16
Direct
0.0006 0.1414 0.0000
0.4994 0.6414 0.0000
0.5006 0.3586 0.0000
0.9994 0.8586 0.0000
0.0334 0.3710 0.5000
0.4666 0.8710 0.5000
0.5334 0.1290 0.5000
0.9666 0.6290 0.5000
0.0000 0.5000 0.0000
0.5000 0.0000 0.0000
0.0282 0.3537 0.0000
0.1459 0.7812 0.5000
0.2212 0.5106 0.2446
0.2212 0.5106 0.7554
0.2788 0.0106 0.2446
0.2788 0.0106 0.7554
0.3541 0.2812 0.5000
0.4718 0.8537 0.0000
0.5282 0.1463 0.0000
0.6459 0.7188 0.5000
0.7212 0.9894 0.2446
0.7212 0.9894 0.7554
0.7788 0.4894 0.2446
0.7788 0.4894 0.7554
0.8541 0.2188 0.5000
0.9718 0.6463 0.0000

=====

PBE-GGA BeGaFeHg, optimized geometry; calculated density = 9.843 g/cm³; crystal system = cubic; energy relative to the lowest polymorph listed for this composition = 0.0000 eV/atom
1.0
6.0927 0.0000 0.0000
0.0000 6.0927 0.0000
0.0000 0.0000 6.0927
Be Ga Fe Hg
4 4 4 4
Direct
0.0000 0.0000 0.0000
0.0000 0.5000 0.5000
0.5000 0.0000 0.5000
0.5000 0.5000 0.0000
0.0000 0.0000 0.5000
0.0000 0.5000 0.0000
0.5000 0.0000 0.0000
0.5000 0.5000 0.5000
0.2500 0.2500 0.7500
0.2500 0.7500 0.2500
0.7500 0.2500 0.2500
0.7500 0.7500 0.7500
0.2500 0.2500 0.2500
0.2500 0.7500 0.7500
0.7500 0.2500 0.7500
0.7500 0.7500 0.2500

=====

Copy entry 1 word for word.
PBE-GGA Na2Mg2FeH8, optimized geometry; calculated density = 2.134 g/cm³; crystal system = orthorhombic; calculated total energy = -0.1256 hartree per atom
1.0
5.1759 0.0000 0.0000
0.0000 10.8429 0.0000
0.0000 0.0000 4.3952
Na Mg Fe H
4 4 2 16
Direct
0.0006 0.1414 0.0000
0.4994 0.6414 0.0000
0.5006 0.3586 0.0000
0.9994 0.8586 0.0000
0.0334 0.3710 0.5000
0.4666 0.8710 0.5000
0.5334 0.1290 0.5000
0.9666 0.6290 0.5000
0.0000 0.5000 0.0000
0.5000 0.0000 0.0000
0.0282 0.3537 0.0000
0.1459 0.7812 0.5000
0.2212 0.5106 0.2446
0.2212 0.5106 0.7554
0.2788 0.0106 0.2446
0.2788 0.0106 0.7554
0.3541 0.2812 0.5000
0.4718 0.8537 0.0000
0.5282 0.1463 0.0000
0.6459 0.7188 0.5000
0.7212 0.9894 0.2446
0.7212 0.9894 0.7554
0.7788 0.4894 0.2446
0.7788 0.4894 0.7554
0.8541 0.2188 0.5000
0.9718 0.6463 0.0000

=====

Question: Which value of calculated density does entry 1 give?
Answer: 2.134 g/cm³

=====

Question: calculated density of number 2 (BeGaFeHg)?
Answer: 9.843 g/cm³